Record 1
Here is MgZr2Bi after structural relaxation from the Alexandria database. Energies are from PBE.

```
MgZr2Bi
1.0
-4.038 4.038 3.061
4.038 -4.038 3.061
4.038 4.038 -3.061
Mg Zr Bi
2 4 2
direct
0.000 0.000 0.000
0.750 0.250 0.500
0.129 0.625 0.004
0.375 0.379 0.504
0.621 0.125 0.996
0.875 0.871 0.496
0.250 0.750 0.500
0.500 0.500 0.000
```

**Fermi-level density of states**: 3.0 states/eV/f.u.
**Formation energy**: 0.153 eV/atom
**E**: -5.490 eV per atom



Record 2
Here is Mg2Zr2Bi after structural relaxation from the Alexandria database. Energies are from PBE.

```
Mg2Zr2Bi
1.0
7.510 0.000 0.000
0.000 7.510 0.000
0.000 0.000 4.563
Mg Zr Bi
4 4 2
direct
0.149 0.351 0.000
0.351 0.851 0.000
0.649 0.149 0.000
0.851 0.649 0.000
0.143 0.643 0.500
0.357 0.143 0.500
0.643 0.857 0.500
0.857 0.357 0.500
0.000 0.000 0.500
0.500 0.500 0.500
```

**Fermi-level density of states**: 2.7 states/eV/f.u.
**Formation energy**: 0.064 eV/atom
**E**: -4.770 eV per atom



Record 3
Here is MgZrBi3 after structural relaxation from the Alexandria database. Energies are from PBE.

```
MgZrBi3
1.0
5.418 0.000 0.000
0.000 5.418 0.000
0.000 0.000 5.418
Mg Zr Bi
1 1 3
direct
0.000 0.000 0.000
0.500 0.500 0.500
0.000 0.000 0.500
0.000 0.500 0.000
0.500 0.000 0.000
```

**Fermi-level density of states**: 6.5 states/eV/f.u.
**Formation energy**: 0.716 eV/atom
**E**: -3.641 eV per atom



Record 4
Here is MgZr2Bi after structural relaxation from the Alexandria database. Energies are from PBE.

```
MgZr2Bi
1.0
3.782 0.000 0.000
0.000 3.782 0.000
0.000 0.000 6.469
Mg Zr Bi
1 2 1
direct
0.000 0.000 0.000
0.500 0.500 0.253
0.500 0.500 0.747
0.000 0.000 0.500
```

**Fermi-level density of states**: 3.3 states/eV/f.u.
**Formation energy**: -0.121 eV/atom
**E**: -5.764 eV per atom



Record 5
Here is MgZrBi3 after structural relaxation from the Alexandria database. Energies are from PBE.

```
MgZrBi3
1.0
5.680 0.000 0.000
0.000 5.680 0.000
0.000 0.000 5.680
Mg Zr Bi
1 1 3
direct
0.000 0.000 0.000
0.500 0.500 0.500
0.000 0.500 0.500
0.500 0.000 0.500
0.500 0.500 0.000
```

**Fermi-level density of states**: 3.8 states/eV/f.u.
**Formation energy**: 0.292 eV/atom
**E**: -4.065 eV per atom



Record 6
Here is MnBi4 after structural relaxation from the Alexandria database. Energies are from PBE.

```
MnBi4
1.0
5.328 0.000 0.000
0.000 5.328 0.000
0.000 0.000 5.328
Mn Bi
1 4
direct
0.000 0.000 0.000
0.000 0.000 0.500
0.000 0.500 0.000
0.500 0.000 0.000
0.500 0.500 0.500
```

**Fermi-level density of states**: 4.0 states/eV/f.u.
**Formation energy**: 0.394 eV/atom
**E**: -4.544 eV per atom



Record 7
Here is Mn3Bi after structural relaxation from the Alexandria database. Energies are from PBE.

```
Mn3Bi
1.0
4.550 2.627 1.038
-4.550 2.627 1.038
0.000 -5.254 1.038
Mn Bi
3 1
direct
0.000 0.500 0.500
0.500 0.000 0.500
0.500 0.500 0.000
0.000 0.000 0.000
```

**Fermi-level density of states**: 4.7 states/eV/f.u.
**Formation energy**: 0.667 eV/atom
**E**: -7.181 eV per atom



Record 8
Here is Mn3Bi after structural relaxation from the Alexandria database. Energies are from PBE.

```
Mn3Bi
1.0
-1.927 1.927 3.982
1.927 -1.927 3.982
1.927 1.927 -3.982
Mn Bi
3 1
direct
0.000 0.000 0.000
0.250 0.750 0.500
0.750 0.250 0.500
0.500 0.500 0.000
```

**Fermi-level density of states**: 4.7 states/eV/f.u.
**Formation energy**: 0.558 eV/atom
**E**: -7.289 eV per atom



Record 9
Here is MnBiMo2 after structural relaxation from the Alexandria database. Energies are from PBE.

```
MnBiMo2
1.0
-1.924 1.924 9.743
1.924 -1.924 9.743
1.924 1.924 -9.743
Mn Bi Mo
2 2 4
direct
0.000 0.000 0.000
0.750 0.250 0.500
0.250 0.750 0.500
0.500 0.500 0.000
0.094 0.625 0.969
0.375 0.344 0.469
0.656 0.125 0.031
0.875 0.906 0.531
```

**Fermi-level density of states**: 5.8 states/eV/f.u.
**Formation energy**: 1.019 eV/atom
**E**: -7.659 eV per atom



Record 10
Here is MnBiMo3 after structural relaxation from the Alexandria database. Energies are from PBE.

```
MnBiMo3
1.0
4.572 0.000 0.000
0.000 4.572 0.000
0.000 0.000 4.572
Mn Bi Mo
1 1 3
direct
0.000 0.000 0.000
0.500 0.500 0.500
0.000 0.000 0.500
0.000 0.500 0.000
0.500 0.000 0.000
```

**Fermi-level density of states**: 6.4 states/eV/f.u.
**Formation energy**: 1.058 eV/atom
**E**: -8.051 eV per atom



Record 11
Here is Mn2BiMo after structural relaxation from the Alexandria database. Energies are from PBE.

```
Mn2BiMo
1.0
-2.051 2.051 9.155
2.051 -2.051 9.155
2.051 2.051 -9.155
Mn Bi Mo
4 2 2
direct
0.107 0.625 0.982
0.375 0.357 0.482
0.643 0.125 0.018
0.875 0.893 0.518
0.250 0.750 0.500
0.500 0.500 0.000
0.000 0.000 0.000
0.750 0.250 0.500
```

**Fermi-level density of states**: 3.7 states/eV/f.u.
**Formation energy**: 0.912 eV/atom
**E**: -7.351 eV per atom